# GGA-PBE Ac8In5Pb, optimized geometry
# Total energy (eV/atom): -3.9343
# Energy of formation (meV/atom): -344
# Magnetization (μB/atom): 0.0000
data_Ac8In5Pb
_cell_length_a 10.1968
_cell_length_b 10.1968
_cell_length_c 10.2301
_cell_angle_alpha 90.00
_cell_angle_beta 90.00
_cell_angle_gamma 90.00
_space_group_name_H-M_alt 'I -4'
_space_group_IT_number 82
_space_group_name_Hall 'I -4'
loop_
_atom_site_label
_atom_site_type_symbol
_atom_site_fract_x
_atom_site_fract_y
_atom_site_fract_z
Ac1 Ac 0.0728 0.3250 0.4489
Ac2 Ac 0.0751 0.1761 0.8018
In1 In 0.0000 0.0000 0.5000
In2 In 0.1251 0.2494 0.1256
Pb1 Pb 0.0000 0.5000 0.7500

# GGA-PBE Ac2InPd6Pb3, optimized geometry
# Total energy (eV/atom): -4.7987
# Energy of formation (meV/atom): -362
# Magnetization (μB/atom): 0.0000
data_Ac2InPd6Pb3
_cell_length_a 4.2564
_cell_length_b 4.2564
_cell_length_c 17.6344
_cell_angle_alpha 90.00
_cell_angle_beta 90.00
_cell_angle_gamma 90.00
_space_group_name_H-M_alt 'P 4/m m m'
_space_group_IT_number 123
_space_group_name_Hall '-P 4 2'
loop_
_atom_site_label
_atom_site_type_symbol
_atom_site_fract_x
_atom_site_fract_y
_atom_site_fract_z
Ac1 Ac 0.0000 0.0000 0.1938
In1 In 0.0000 0.0000 0.5000
Pd1 Pd 0.0000 0.5000 0.4052
Pd2 Pd 0.5000 0.5000 0.1504
Pb1 Pb 0.5000 0.5000 0.0000
Pb2 Pb 0.5000 0.5000 0.3082

# GGA-PBE Ac2In3Pd4Pb, optimized geometry
# Total energy (eV/atom): -4.7330
# Energy of formation (meV/atom): -642
# Magnetization (μB/atom): 0.0000
data_Ac2In3Pd4Pb
_cell_length_a 4.8340
_cell_length_b 4.8340
_cell_length_c 10.5440
_cell_angle_alpha 90.00
_cell_angle_beta 90.00
_cell_angle_gamma 90.00
_space_group_name_H-M_alt 'P -4 m 2'
_space_group_IT_number 115
_space_group_name_Hall 'P -4 -2'
loop_
_atom_site_label
_atom_site_type_symbol
_atom_site_fract_x
_atom_site_fract_y
_atom_site_fract_z
Ac1 Ac 0.0000 0.5000 0.2378
In1 In 0.0000 0.5000 0.8867
In2 In 0.5000 0.5000 0.5000
Pd1 Pd 0.0000 0.0000 0.0000
Pd2 Pd 0.0000 0.5000 0.6351
Pd3 Pd 0.5000 0.5000 0.0000
Pb1 Pb 0.0000 0.0000 0.5000

# GGA-PBE Ac2InPd4Pb3, optimized geometry
# Total energy (eV/atom): -4.8687
# Energy of formation (meV/atom): -584
# Magnetization (μB/atom): 0.0000
data_Ac2InPd4Pb3
_cell_length_a 4.7729
_cell_length_b 4.7729
_cell_length_c 11.0692
_cell_angle_alpha 90.00
_cell_angle_beta 90.00
_cell_angle_gamma 90.00
_space_group_name_H-M_alt 'P -4 m 2'
_space_group_IT_number 115
_space_group_name_Hall 'P -4 -2'
loop_
_atom_site_label
_atom_site_type_symbol
_atom_site_fract_x
_atom_site_fract_y
_atom_site_fract_z
Ac1 Ac 0.0000 0.5000 0.2405
In1 In 0.0000 0.0000 0.5000
Pd1 Pd 0.0000 0.0000 0.0000
Pd2 Pd 0.0000 0.5000 0.6305
Pd3 Pd 0.5000 0.5000 0.0000
Pb1 Pb 0.0000 0.5000 0.8748
Pb2 Pb 0.5000 0.5000 0.5000

# GGA-PBE AcInPd3Pb, optimized geometry
# Total energy (eV/atom): -4.8058
# Energy of formation (meV/atom): -450
# Magnetization (μB/atom): 0.0000
data_AcInPd3Pb
_cell_length_a 6.0585
_cell_length_b 13.0267
_cell_length_c 7.4206
_cell_angle_alpha 90.00
_cell_angle_beta 90.00
_cell_angle_gamma 90.00
_space_group_name_H-M_alt 'C m c m'
_space_group_IT_number 63
_space_group_name_Hall '-C 2c 2'
loop_
_atom_site_label
_atom_site_type_symbol
_atom_site_fract_x
_atom_site_fract_y
_atom_site_fract_z
Ac1 Ac 0.0000 0.1618 0.2500
In1 In 0.0000 0.4237 0.2500
Pd1 Pd 0.0000 0.3594 0.7500
Pd2 Pd 0.2307 0.0000 0.0000
Pb1 Pb 0.0000 0.1454 0.7500

# GGA-PBE Ac3InPd8Pb2, optimized geometry
# Total energy (eV/atom): -5.1387
# Energy of formation (meV/atom): -566
# Magnetization (μB/atom): 0.0000
data_Ac3InPd8Pb2
_cell_length_a 5.7526
_cell_length_b 5.7526
_cell_length_c 11.1429
_cell_angle_alpha 90.00
_cell_angle_beta 90.00
_cell_angle_gamma 120.00
_space_group_name_H-M_alt 'P -3 m 1'
_space_group_IT_number 164
_space_group_name_Hall '-P 3 2"'
loop_
_atom_site_label
_atom_site_type_symbol
_atom_site_fract_x
_atom_site_fract_y
_atom_site_fract_z
Ac1 Ac 0.0000 0.0000 0.0000
Ac2 Ac 0.3333 0.6667 0.5929
In1 In 0.0000 0.0000 0.5000
Pd1 Pd 0.1643 0.3286 0.2989
Pd2 Pd 0.3333 0.6667 0.8565
Pb1 Pb 0.3333 0.6667 0.1035

# GGA-PBE Ac3In2Pd9Pb, optimized geometry
# Total energy (eV/atom): -4.9708
# Energy of formation (meV/atom): -421
# Magnetization (μB/atom): 0.0000
data_Ac3In2Pd9Pb
_cell_length_a 6.9077
_cell_length_b 6.9077
_cell_length_c 9.6467
_cell_angle_alpha 90.00
_cell_angle_beta 90.00
_cell_angle_gamma 120.00
_space_group_name_H-M_alt 'P -3 m 1'
_space_group_IT_number 164
_space_group_name_Hall '-P 3 2"'
loop_
_atom_site_label
_atom_site_type_symbol
_atom_site_fract_x
_atom_site_fract_y
_atom_site_fract_z
Ac1 Ac 0.0000 0.0000 0.0000
Ac2 Ac 0.3333 0.6667 0.7449
In1 In 0.3333 0.6667 0.1857
Pd1 Pd 0.0000 0.5000 0.0000
Pd2 Pd 0.1321 0.2641 0.2694
Pb1 Pb 0.0000 0.0000 0.5000

# GGA-PBE Ac2In4Pd3Pb, optimized geometry
# Total energy (eV/atom): -4.3984
# Energy of formation (meV/atom): -553
# Magnetization (μB/atom): 0.0000
data_Ac2In4Pd3Pb
_cell_length_a 4.6471
_cell_length_b 4.6471
_cell_length_c 11.8325
_cell_angle_alpha 90.00
_cell_angle_beta 90.00
_cell_angle_gamma 90.00
_space_group_name_H-M_alt 'P -4 m 2'
_space_group_IT_number 115
_space_group_name_Hall 'P -4 -2'
loop_
_atom_site_label
_atom_site_type_symbol
_atom_site_fract_x
_atom_site_fract_y
_atom_site_fract_z
Ac1 Ac 0.0000 0.5000 0.2368
In1 In 0.0000 0.0000 0.0000
In2 In 0.0000 0.5000 0.6477
In3 In 0.5000 0.5000 0.0000
Pd1 Pd 0.0000 0.5000 0.8716
Pd2 Pd 0.5000 0.5000 0.5000
Pb1 Pb 0.0000 0.0000 0.5000

# GGA-PBE AcPmInPb, optimized geometry
# Excess energy over the best structure of this formula in the dataset (meV per atom): 0
# Total energy (eV/atom): -4.3120
# Energy of formation (meV/atom): -486
# Magnetization (μB/atom): 0.0005
data_AcPmInPb
_cell_length_a 4.5562
_cell_length_b 4.8540
_cell_length_c 12.2888
_cell_angle_alpha 90.00
_cell_angle_beta 90.00
_cell_angle_gamma 90.00
_space_group_name_H-M_alt 'A m m 2'
_space_group_IT_number 38
_space_group_name_Hall 'A 2 -2'
loop_
_atom_site_label
_atom_site_type_symbol
_atom_site_fract_x
_atom_site_fract_y
_atom_site_fract_z
Ac1 Ac 0.0000 0.0000 0.0000
Pm1 Pm 0.5000 0.0000 0.7251
In1 In 0.5000 0.0000 0.4419
Pb1 Pb 0.0000 0.0000 0.2742

# GGA-PBE AcPmInPb, optimized geometry
# Excess energy over the best structure of this formula in the dataset (meV per atom): 58
# Total energy (eV/atom): -4.2544
# Energy of formation (meV/atom): -428
# Magnetization (μB/atom): 0.0000
data_AcPmInPb
_cell_length_a 8.0380
_cell_length_b 8.0380
_cell_length_c 8.0380
_cell_angle_alpha 90.00
_cell_angle_beta 90.00
_cell_angle_gamma 90.00
_space_group_name_H-M_alt 'F -4 3 m'
_space_group_IT_number 216
_space_group_name_Hall 'F -4 2 3'
loop_
_atom_site_label
_atom_site_type_symbol
_atom_site_fract_x
_atom_site_fract_y
_atom_site_fract_z
Ac1 Ac 0.0000 0.0000 0.0000
Pm1 Pm 0.0000 0.0000 0.5000
In1 In 0.2500 0.2500 0.2500
Pb1 Pb 0.2500 0.2500 0.7500

# GGA-PBE Ac3Pr3In2Pb, optimized geometry
# Total energy (eV/atom): -4.2669
# Energy of formation (meV/atom): -284
# Magnetization (μB/atom): 0.0002
data_Ac3Pr3In2Pb
_cell_length_a 9.1793
_cell_length_b 9.1793
_cell_length_c 4.4337
_cell_angle_alpha 90.00
_cell_angle_beta 90.00
_cell_angle_gamma 120.00
_space_group_name_H-M_alt 'P -6 2 m'
_space_group_IT_number 189
_space_group_name_Hall 'P -6 -2'
loop_
_atom_site_label
_atom_site_type_symbol
_atom_site_fract_x
_atom_site_fract_y
_atom_site_fract_z
Ac1 Ac 0.0000 0.7210 0.0000
Pr1 Pr 0.0000 0.3972 0.5000
In1 In 0.3333 0.6667 0.0000
Pb1 Pb 0.0000 0.0000 0.5000

# GGA-PBE AcInPt3Pb, optimized geometry
# Total energy (eV/atom): -5.2730
# Energy of formation (meV/atom): -493
# Magnetization (μB/atom): 0.0000
data_AcInPt3Pb
_cell_length_a 5.8713
_cell_length_b 18.2262
_cell_length_c 5.8572
_cell_angle_alpha 90.00
_cell_angle_beta 90.00
_cell_angle_gamma 90.00
_space_group_name_H-M_alt 'C m c m'
_space_group_IT_number 63
_space_group_name_Hall '-C 2c 2'
loop_
_atom_site_label
_atom_site_type_symbol
_atom_site_fract_x
_atom_site_fract_y
_atom_site_fract_z
Ac1 Ac 0.0000 0.2139 0.2500
In1 In 0.0000 0.4019 0.7500
Pt1 Pt 0.0000 0.2539 0.7500
Pt2 Pt 0.2456 0.5000 0.0000
Pb1 Pb 0.0000 0.0993 0.7500

What is the formula in the fifth record? AcInPd3Pb

Among the records above, which one has the lowest total energy? AcInPt3Pb

Repeat the eighth record exactly.
# GGA-PBE Ac2In4Pd3Pb, optimized geometry
# Total energy (eV/atom): -4.3984
# Energy of formation (meV/atom): -553
# Magnetization (μB/atom): 0.0000
data_Ac2In4Pd3Pb
_cell_length_a 4.6471
_cell_length_b 4.6471
_cell_length_c 11.8325
_cell_angle_alpha 90.00
_cell_angle_beta 90.00
_cell_angle_gamma 90.00
_space_group_name_H-M_alt 'P -4 m 2'
_space_group_IT_number 115
_space_group_name_Hall 'P -4 -2'
loop_
_atom_site_label
_atom_site_type_symbol
_atom_site_fract_x
_atom_site_fract_y
_atom_site_fract_z
Ac1 Ac 0.0000 0.5000 0.2368
In1 In 0.0000 0.0000 0.0000
In2 In 0.0000 0.5000 0.6477
In3 In 0.5000 0.5000 0.0000
Pd1 Pd 0.0000 0.5000 0.8716
Pd2 Pd 0.5000 0.5000 0.5000
Pb1 Pb 0.0000 0.0000 0.5000

What is the magnetization in the first record? 0.0000 μB/atom